No. 1
A plane-wave DFT calculation with PBE-GGA was carried out for Pm2TlGaO6 after structural relaxation.

Calculated values
Energy   -66.496 eV/f.u.
SG   P4mm, No. 99
Raw formation energy   -21.85 eV/f.u.

Lattice parameters (Å, degrees): 5.208 5.385 5.385 90.00 90.00 90.00
Positions (direct):
O 0.141 0.500 0.500
O 0.738 0.238 0.762
O 0.738 0.762 0.762
O 0.738 0.238 0.238
O 0.738 0.762 0.238
O 0.227 0.000 0.000
Pm 0.997 0.500 0.000
Pm 0.997 0.000 0.500
Tl 0.548 0.500 0.500
Ga 0.586 0.000 0.000

No. 2
A plane-wave DFT calculation with PBE-GGA was carried out for Pm12Tl4GaO3 after structural relaxation.

Calculated values
Energy   -104.363 eV/f.u.
SG   Im-3m, No. 229
Raw formation energy   -19.99 eV/f.u.
N(E_F)   0.4287 states/eV per atom

Lattice parameters (Å, degrees): 8.839 8.839 8.839 109.47 109.47 109.47
Positions (direct):
O 0.000 0.500 0.500
O 0.500 0.500 0.000
O 0.500 0.000 0.500
Pm 0.500 0.750 0.250
Pm 0.750 0.250 0.500
Pm 0.250 0.750 0.500
Pm 0.266 0.266 0.000
Pm 0.266 0.000 0.266
Pm 0.750 0.500 0.250
Pm 0.734 0.000 0.734
Pm 0.734 0.734 0.000
Pm 0.000 0.266 0.266
Pm 0.000 0.734 0.734
Pm 0.250 0.500 0.750
Pm 0.500 0.250 0.750
Ga 0.000 0.000 0.000
Tl 0.000 0.500 0.000
Tl 0.500 0.000 0.000
Tl 0.000 0.000 0.500
Tl 0.500 0.500 0.500

No. 3
A plane-wave DFT calculation with PBE-GGA was carried out for PmUGa2O8 after structural relaxation.

Calculated values
Energy   -89.782 eV/f.u.
SG   Cmmm, No. 65
Raw formation energy   -28.02 eV/f.u.
N(E_F)   0.3859 states/eV per atom

Lattice parameters (Å, degrees): 4.766 4.767 6.866 90.01 90.01 88.26
Each line ends with the local moment (μB).
Positions (direct):
Pm 0.000 0.000 0.500  0.02
O 0.209 0.792 0.227  0.01
O 0.666 0.666 0.500  0.20
O 0.334 0.334 0.500  0.20
O 0.694 0.694 0.000  0.01
O 0.791 0.208 0.227  0.01
O 0.791 0.208 0.773  0.01
O 0.209 0.792 0.773  0.01
O 0.306 0.306 0.000  0.01
Ga 0.500 0.500 0.245  -0.01
Ga 0.500 0.500 0.755  -0.01
U 0.000 0.000 0.000  -0.01

- Look up the raw formation energy of the third one.
  -28.02 eV/f.u.